Entry 1:
{
  "formula": "HfCoNiPt",
  "functional": "PBE-GGA",
  "state": "optimized geometry",
  "cell": [[-0.809, -0.769, 3.573], [-2.160, -2.948, -1.123], [3.134, -2.373, 0.199]],
  "species": ["Pt", "Co", "Ni", "Hf"],
  "frac_coords": [[0.500, 0.500, 0.000], [0.000, 0.500, 0.500], [0.000, 0.000, 0.000], [0.500, 0.000, 0.500]],
  "e_above_lowest_polymorph_kcal_per_mol_atoms": 0.00,
  "delta_e_f_ev_per_atom": -0.66,
  "total_magnetization_mub_per_fu": 0.70
}

***

Entry 2:
{
  "formula": "HfCoNiPt",
  "functional": "PBE-GGA",
  "state": "optimized geometry",
  "cell": [[4.318, 0.000, 0.000], [2.159, 3.740, 0.000], [2.159, 1.247, 3.526]],
  "species": ["Hf", "Pt", "Co", "Ni"],
  "frac_coords": [[0.750, 0.750, 0.750], [0.250, 0.250, 0.250], [0.000, 0.000, 0.000], [0.500, 0.500, 0.500]],
  "e_above_lowest_polymorph_kcal_per_mol_atoms": 4.84,
  "delta_e_f_ev_per_atom": -0.45,
  "total_magnetization_mub_per_fu": 0.66
}

***

Entry 3:
{
  "formula": "HfCoNiRh",
  "functional": "PBE-GGA",
  "state": "optimized geometry",
  "cell": [[-3.184, -0.277, -2.877], [-4.024, -0.762, 1.313], [-2.963, 3.108, -0.234]],
  "species": ["Rh", "Hf", "Co", "Ni"],
  "frac_coords": [[0.250, 0.250, 0.250], [0.750, 0.750, 0.750], [0.500, 0.500, 0.500], [0.000, 0.000, 0.000]],
  "delta_e_f_ev_per_atom": -0.29,
  "total_magnetization_mub_per_fu": 1.44
}

***

Entry 4:
{
  "formula": "Hf2CoNiSb",
  "functional": "PBE-GGA",
  "state": "optimized geometry",
  "cell": [[4.683, 0.000, 0.000], [0.000, 4.453, 0.000], [0.000, 0.000, 4.683]],
  "species": ["Hf", "Hf", "Co", "Ni", "Sb"],
  "frac_coords": [[0.500, 0.000, 0.000], [0.000, 0.000, 0.500], [0.000, 0.000, 0.000], [0.000, 0.500, 0.000], [0.500, 0.500, 0.500]],
  "formation_energy_uncorrected_mev_per_atom": 132,
  "total_magnetization_mub_per_fu": 0.00
}

***

Entry 5:
{
  "formula": "Hf2CoNiSe",
  "functional": "PBE-GGA",
  "state": "optimized geometry",
  "cell": [[-4.581, -1.814, 0.002], [1.181, -2.985, -2.663], [1.160, -2.924, 3.792]],
  "species": ["Hf", "Hf", "Ni", "Co", "Se"],
  "frac_coords": [[0.000, 0.000, 0.500], [0.500, 0.000, 0.000], [0.000, 0.500, 0.000], [0.500, 0.500, 0.500], [0.000, 0.000, 0.000]],
  "formation_energy_uncorrected_mev_per_atom": 437,
  "total_magnetization_mub_per_fu": 1.48
}

***

Entry 6:
{
  "formula": "HfCoSi2Ni",
  "functional": "PBE-GGA",
  "state": "optimized geometry",
  "cell": [[-0.209, 3.729, -0.055], [-2.132, -0.164, -3.063], [-2.802, -1.964, 4.333]],
  "species": ["Si", "Si", "Ni", "Co", "Hf"],
  "frac_coords": [[0.381, 0.381, 0.762], [0.619, 0.619, 0.238], [0.250, 0.750, 0.500], [0.750, 0.250, 0.500], [0.000, 0.000, 0.000]],
  "formation_energy_uncorrected_mev_per_atom": -742,
  "total_magnetization_mub_per_fu": 0.68
}

***

How do the records compare in calculated total energy? In the order shown, they have -7.878, -7.668, -7.835, -7.251, -6.818, -7.480 eV per atom.
How do the records compare in Fermi-level density of states? In the order shown, they have 2.25, 6.29, 5.48, 5.01, 3.98, 3.09 states/eV/f.u..